No. 1
An optimized crystal structure of CaTcAs2, computed with PBE-GGA.

Cell lengths 3.3571, 4.5003, 4.8641 Å; angles 90.00, 90.00, 90.00 degrees
Space group Pmmm (No. 47)
Asymmetric unit:
Ca 0.0000 0.0000 0.0000 [1 per cell]
Tc 0.0000 0.5000 0.5000 [1 per cell]
As 0.5000 0.0000 0.5000 [1 per cell]
As 0.5000 0.5000 0.0000 [1 per cell]

Values from the calculation:
- energy relative to the lowest polymorph listed for this composition (meV/atom) = 438.2
- energy relative to the elements (eV/f.u.) = 0.0
- Fermi-level density of states (states/eV per cell) = 3.72


No. 2
An optimized crystal structure of BeTlRu2, computed with PBE-GGA.

Cell lengths 3.1042, 3.1042, 21.6347 Å; angles 90.00, 90.00, 120.00 degrees
Space group R-3m (No. 166, hexagonal axes)
Asymmetric unit:
Be 0.0000 0.0000 0.0000 [3 per cell]
Tl 0.0000 0.0000 0.5000 [3 per cell]
Ru 0.0000 0.0000 0.2713 [6 per cell]

Values from the calculation:
- energy relative to the lowest polymorph listed for this composition (meV/atom) = 129.6
- energy relative to the elements (eV/f.u.) = 1.6
- Fermi-level density of states (states/eV per cell) = 8.80


No. 3
An optimized crystal structure of Rb3Y3UO8, computed with PBE-GGA.

Cell lengths 7.0196, 7.0196, 20.0044 Å; angles 90.00, 90.00, 120.00 degrees
Space group R-3m (No. 166, hexagonal axes)
Asymmetric unit:
Rb 0.0000 0.5000 0.0000 [9 per cell]
Y 0.0000 0.5000 0.5000 [9 per cell]
U 0.0000 0.0000 0.5000 [3 per cell]
O 0.0000 0.0000 0.2233 [6 per cell]
O 0.0105 0.5053 0.2220 [18 per cell]

Values from the calculation:
- Fermi-level density of states (states/eV per cell) = 24.43
- ΔE_f (raw) (eV/atom) = -2.783


No. 4
An optimized crystal structure of HfBe6Ir2, computed with PBE-GGA.

Cell lengths 3.1101, 6.0223, 10.8749 Å; angles 90.00, 90.00, 90.00 degrees
Space group Immm (No. 71)
Asymmetric unit:
Hf 0.0000 0.0000 0.0000 [2 per cell]
Be 0.0000 0.1664 0.5000 [4 per cell]
Be 0.0000 0.3010 0.3179 [8 per cell]
Ir 0.0000 0.5000 0.1341 [4 per cell]

Values from the calculation:
- energy relative to the elements (eV/f.u.) = -3.3
- Fermi-level density of states (states/eV per cell) = 6.87


No. 5
An optimized crystal structure of Si2NiCl, computed with PBE-GGA.

Cell lengths 6.2362, 6.2362, 6.2362 Å; angles 90.00, 90.00, 90.00 degrees
Space group Fm-3m (No. 225)
Asymmetric unit:
Si 0.2500 0.2500 0.2500 [8 per cell]
Ni 0.0000 0.0000 0.0000 [4 per cell]
Cl 0.0000 0.0000 0.5000 [4 per cell]

Values from the calculation:
- energy relative to the lowest polymorph listed for this composition (meV/atom) = 929.1
- Fermi-level density of states (states/eV per cell) = 11.30
- ΔE_f (raw) (eV/atom) = 0.605


No. 6
An optimized crystal structure of SrNi4As3, computed with PBE-GGA.

Cell lengths 3.9418, 3.9418, 8.7359 Å; angles 90.00, 90.00, 90.00 degrees
Space group P4/mmm (No. 123)
Asymmetric unit:
Sr 0.0000 0.0000 0.0000 [1 per cell]
Ni 0.0000 0.5000 0.3447 [4 per cell]
As 0.0000 0.0000 0.5000 [1 per cell]
As 0.5000 0.5000 0.1978 [2 per cell]

Values from the calculation:
- energy relative to the elements (eV/f.u.) = -3.9
- Fermi-level density of states (states/eV per cell) = 6.52


No. 7
An optimized crystal structure of HgIN2, computed with PBE-GGA.

Cell lengths 5.2209, 27.5938, 4.9712 Å; angles 90.00, 111.69, 90.00 degrees
Space group C2/c (No. 15)
Asymmetric unit:
Hg 0.2500 0.2500 0.0000 [4 per cell]
I 0.0000 0.1685 0.2500 [4 per cell]
N 0.1146 0.4476 0.2878 [8 per cell]

Values from the calculation:
- energy relative to the lowest polymorph listed for this composition (meV/atom) = 0.0
- Fermi-level density of states (states/eV per cell) = 14.72
- ΔE_f (raw) (eV/atom) = 0.041


No. 8
An optimized crystal structure of NaCa2In2Hg2, computed with PBE-GGA.

Cell lengths 5.0552, 5.0552, 27.6212 Å; angles 90.00, 90.00, 120.00 degrees
Space group R-3m (No. 166, hexagonal axes)
Asymmetric unit:
Na 0.0000 0.0000 0.0000 [3 per cell]
Ca 0.0000 0.0000 0.1251 [6 per cell]
In 0.0000 0.0000 0.2586 [6 per cell]
Hg 0.0000 0.0000 0.3996 [6 per cell]

Values from the calculation:
- energy relative to the elements (eV/f.u.) = -1.8
- Fermi-level density of states (states/eV per cell) = 14.29


Copy entry 4 word for word.
An optimized crystal structure of HfBe6Ir2, computed with PBE-GGA.

Cell lengths 3.1101, 6.0223, 10.8749 Å; angles 90.00, 90.00, 90.00 degrees
Space group Immm (No. 71)
Asymmetric unit:
Hf 0.0000 0.0000 0.0000 [2 per cell]
Be 0.0000 0.1664 0.5000 [4 per cell]
Be 0.0000 0.3010 0.3179 [8 per cell]
Ir 0.0000 0.5000 0.1341 [4 per cell]

Values from the calculation:
- energy relative to the elements (eV/f.u.) = -3.3
- Fermi-level density of states (states/eV per cell) = 6.87


Repeat the fourth record exactly.
An optimized crystal structure of HfBe6Ir2, computed with PBE-GGA.

Cell lengths 3.1101, 6.0223, 10.8749 Å; angles 90.00, 90.00, 90.00 degrees
Space group Immm (No. 71)
Asymmetric unit:
Hf 0.0000 0.0000 0.0000 [2 per cell]
Be 0.0000 0.1664 0.5000 [4 per cell]
Be 0.0000 0.3010 0.3179 [8 per cell]
Ir 0.0000 0.5000 0.1341 [4 per cell]

Values from the calculation:
- energy relative to the elements (eV/f.u.) = -3.3
- Fermi-level density of states (states/eV per cell) = 6.87


Which value of Fermi-level density of states does entry 4 give? 6.87 states/eV per cell


What is the Fermi-level density of states in the first record? 3.72 states/eV per cell